Entry 1:
This record from Alexandria describes a geometry-optimized Na2Ge3I8 structure. The functional is GGA-PBE.

Computed properties:
Its space group is No. 12.

```
data_Na2Ge3I8
_space_group_name_H-M_alt 'P 1'
_space_group_IT_number 1
_cell_length_a 8.645
_cell_length_b 8.645
_cell_length_c 7.625
_cell_angle_alpha 92.46
_cell_angle_beta 92.46
_cell_angle_gamma 61.69
loop_
_space_group_symop_operation_xyz
'x,y,z'
loop_
_atom_site_label
_atom_site_type_symbol
_atom_site_fract_x
_atom_site_fract_y
_atom_site_fract_z
_atom_site_occupancy
Na1 Na 0.229 0.229 0.034 1
Na2 Na 0.771 0.771 0.966 1
Ge1 Ge 0.246 0.754 0.500 1
Ge2 Ge 0.500 0.500 0.000 1
Ge3 Ge 0.754 0.246 0.500 1
I1 I 0.116 0.116 0.378 1
I2 I 0.145 0.620 0.161 1
I3 I 0.380 0.855 0.839 1
I4 I 0.382 0.382 0.665 1
I5 I 0.618 0.618 0.335 1
I6 I 0.620 0.145 0.161 1
I7 I 0.855 0.380 0.839 1
I8 I 0.884 0.884 0.622 1
```



Entry 2:
This record from Alexandria describes a geometry-optimized Na3Ge5I12 structure. The functional is GGA-PBE.

Computed properties:
Its space group is No. 230.

```
data_Na3Ge5I12
_space_group_name_H-M_alt 'P 1'
_space_group_IT_number 1
_cell_length_a 16.426
_cell_length_b 16.426
_cell_length_c 16.426
_cell_angle_alpha 109.47
_cell_angle_beta 109.47
_cell_angle_gamma 109.47
loop_
_space_group_symop_operation_xyz
'x,y,z'
loop_
_atom_site_label
_atom_site_type_symbol
_atom_site_fract_x
_atom_site_fract_y
_atom_site_fract_z
_atom_site_occupancy
Na1 Na 0.125 0.250 0.375 1
Na2 Na 0.125 0.375 0.750 1
Na3 Na 0.250 0.375 0.125 1
Na4 Na 0.250 0.875 0.625 1
Na5 Na 0.375 0.125 0.250 1
Na6 Na 0.375 0.750 0.125 1
Na7 Na 0.625 0.250 0.875 1
Na8 Na 0.625 0.875 0.750 1
Na9 Na 0.750 0.125 0.375 1
Na10 Na 0.750 0.625 0.875 1
Na11 Na 0.875 0.625 0.250 1
Na12 Na 0.875 0.750 0.625 1
Ge1 Ge 0.000 0.000 0.000 1
Ge2 Ge 0.000 0.000 0.500 1
Ge3 Ge 0.000 0.500 0.000 1
Ge4 Ge 0.000 0.500 0.500 1
Ge5 Ge 0.125 0.750 0.875 1
Ge6 Ge 0.125 0.875 0.250 1
Ge7 Ge 0.250 0.125 0.875 1
Ge8 Ge 0.250 0.625 0.375 1
Ge9 Ge 0.375 0.250 0.625 1
Ge10 Ge 0.375 0.625 0.750 1
Ge11 Ge 0.500 0.000 0.000 1
Ge12 Ge 0.500 0.000 0.500 1
Ge13 Ge 0.500 0.500 0.000 1
Ge14 Ge 0.500 0.500 0.500 1
Ge15 Ge 0.625 0.375 0.250 1
Ge16 Ge 0.625 0.750 0.375 1
Ge17 Ge 0.750 0.375 0.625 1
Ge18 Ge 0.750 0.875 0.125 1
Ge19 Ge 0.875 0.125 0.750 1
Ge20 Ge 0.875 0.250 0.125 1
I1 I 0.031 0.204 0.124 1
I2 I 0.031 0.327 0.907 1
I3 I 0.081 0.704 0.673 1
I4 I 0.081 0.876 0.407 1
I5 I 0.093 0.624 0.419 1
I6 I 0.093 0.969 0.673 1
I7 I 0.124 0.031 0.204 1
I8 I 0.124 0.593 0.919 1
I9 I 0.173 0.204 0.581 1
I10 I 0.173 0.469 0.593 1
I11 I 0.204 0.124 0.031 1
I12 I 0.204 0.581 0.173 1
I13 I 0.296 0.327 0.919 1
I14 I 0.296 0.469 0.376 1
I15 I 0.327 0.907 0.031 1
I16 I 0.327 0.919 0.296 1
I17 I 0.376 0.296 0.469 1
I18 I 0.376 0.581 0.907 1
I19 I 0.407 0.081 0.876 1
I20 I 0.407 0.827 0.531 1
I21 I 0.419 0.093 0.624 1
I22 I 0.419 0.827 0.796 1
I23 I 0.469 0.376 0.296 1
I24 I 0.469 0.593 0.173 1
I25 I 0.531 0.407 0.827 1
I26 I 0.531 0.624 0.704 1
I27 I 0.581 0.173 0.204 1
I28 I 0.581 0.907 0.376 1
I29 I 0.593 0.173 0.469 1
I30 I 0.593 0.919 0.124 1
I31 I 0.624 0.419 0.093 1
I32 I 0.624 0.704 0.531 1
I33 I 0.673 0.081 0.704 1
I34 I 0.673 0.093 0.969 1
I35 I 0.704 0.531 0.624 1
I36 I 0.704 0.673 0.081 1
I37 I 0.796 0.419 0.827 1
I38 I 0.796 0.876 0.969 1
I39 I 0.827 0.531 0.407 1
I40 I 0.827 0.796 0.419 1
I41 I 0.876 0.407 0.081 1
I42 I 0.876 0.969 0.796 1
I43 I 0.907 0.031 0.327 1
I44 I 0.907 0.376 0.581 1
I45 I 0.919 0.124 0.593 1
I46 I 0.919 0.296 0.327 1
I47 I 0.969 0.673 0.093 1
I48 I 0.969 0.796 0.876 1
```



Entry 3:
This record from Alexandria describes a geometry-optimized Na2GeI4 structure. The functional is GGA-PBE.

Computed properties:
The relative energy among the computed polymorphs comes out at 0 meV per atom. Its space group is No. 91.

```
data_Na2GeI4
_space_group_name_H-M_alt 'P 1'
_space_group_IT_number 1
_cell_length_a 9.334
_cell_length_b 9.334
_cell_length_c 12.944
_cell_angle_alpha 90.00
_cell_angle_beta 90.00
_cell_angle_gamma 90.00
loop_
_space_group_symop_operation_xyz
'x,y,z'
loop_
_atom_site_label
_atom_site_type_symbol
_atom_site_fract_x
_atom_site_fract_y
_atom_site_fract_z
_atom_site_occupancy
Na1 Na 0.000 0.257 0.000 1
Na2 Na 0.000 0.743 0.500 1
Na3 Na 0.248 0.248 0.375 1
Na4 Na 0.248 0.752 0.125 1
Na5 Na 0.257 0.000 0.750 1
Na6 Na 0.743 0.000 0.250 1
Na7 Na 0.752 0.248 0.625 1
Na8 Na 0.752 0.752 0.875 1
Ge1 Ge 0.249 0.500 0.750 1
Ge2 Ge 0.500 0.249 0.000 1
Ge3 Ge 0.500 0.751 0.500 1
Ge4 Ge 0.751 0.500 0.250 1
I1 I 0.033 0.266 0.749 1
I2 I 0.033 0.734 0.751 1
I3 I 0.261 0.486 0.985 1
I4 I 0.261 0.514 0.515 1
I5 I 0.266 0.033 0.001 1
I6 I 0.266 0.967 0.499 1
I7 I 0.486 0.261 0.765 1
I8 I 0.486 0.739 0.735 1
I9 I 0.514 0.261 0.235 1
I10 I 0.514 0.739 0.265 1
I11 I 0.734 0.033 0.999 1
I12 I 0.734 0.967 0.501 1
I13 I 0.739 0.486 0.015 1
I14 I 0.739 0.514 0.485 1
I15 I 0.967 0.266 0.251 1
I16 I 0.967 0.734 0.249 1
```



Entry 4:
This record from Alexandria describes a geometry-optimized Na2Ge2I7 structure. The functional is GGA-PBE.

Computed properties:
Its space group is No. 12.

```
data_Na2Ge2I7
_space_group_name_H-M_alt 'P 1'
_space_group_IT_number 1
_cell_length_a 8.834
_cell_length_b 8.834
_cell_length_c 7.468
_cell_angle_alpha 104.96
_cell_angle_beta 104.96
_cell_angle_gamma 95.14
loop_
_space_group_symop_operation_xyz
'x,y,z'
loop_
_atom_site_label
_atom_site_type_symbol
_atom_site_fract_x
_atom_site_fract_y
_atom_site_fract_z
_atom_site_occupancy
Na1 Na 0.197 0.803 0.000 1
Na2 Na 0.803 0.197 0.000 1
Ge1 Ge 0.295 0.295 0.608 1
Ge2 Ge 0.705 0.705 0.392 1
I1 I 0.085 0.085 0.280 1
I2 I 0.100 0.430 0.815 1
I3 I 0.430 0.100 0.815 1
I4 I 0.500 0.500 0.500 1
I5 I 0.570 0.900 0.185 1
I6 I 0.900 0.570 0.185 1
I7 I 0.915 0.915 0.720 1
```



Entry 5:
This record from Alexandria describes a geometry-optimized Na2GeI4 structure. The functional is GGA-PBE.

Computed properties:
The relative energy among the computed polymorphs comes out at 112 meV per atom. Its space group is No. 139.

```
data_Na2GeI4
_space_group_name_H-M_alt 'P 1'
_space_group_IT_number 1
_cell_length_a 9.146
_cell_length_b 9.146
_cell_length_c 9.146
_cell_angle_alpha 142.34
_cell_angle_beta 142.34
_cell_angle_gamma 54.31
loop_
_space_group_symop_operation_xyz
'x,y,z'
loop_
_atom_site_label
_atom_site_type_symbol
_atom_site_fract_x
_atom_site_fract_y
_atom_site_fract_z
_atom_site_occupancy
Na1 Na 0.131 0.131 0.000 1
Na2 Na 0.869 0.869 0.000 1
Ge1 Ge 0.500 0.500 0.000 1
I1 I 0.000 0.500 0.500 1
I2 I 0.318 0.318 0.000 1
I3 I 0.500 0.000 0.500 1
I4 I 0.682 0.682 0.000 1
```



Entry 6:
This record from Alexandria describes a geometry-optimized Na2GeI4 structure. The functional is GGA-PBE.

Computed properties:
The relative energy among the computed polymorphs comes out at 60 meV per atom. Its space group is No. 121.

```
data_Na2GeI4
_space_group_name_H-M_alt 'P 1'
_space_group_IT_number 1
_cell_length_a 8.092
_cell_length_b 8.092
_cell_length_c 8.092
_cell_angle_alpha 124.61
_cell_angle_beta 124.61
_cell_angle_gamma 82.19
loop_
_space_group_symop_operation_xyz
'x,y,z'
loop_
_atom_site_label
_atom_site_type_symbol
_atom_site_fract_x
_atom_site_fract_y
_atom_site_fract_z
_atom_site_occupancy
Na1 Na 0.250 0.750 0.500 1
Na2 Na 0.750 0.250 0.500 1
Ge1 Ge 0.000 0.000 0.000 1
I1 I 0.120 0.645 0.000 1
I2 I 0.355 0.355 0.475 1
I3 I 0.645 0.120 0.000 1
I4 I 0.880 0.880 0.525 1
```



Uncorrected formation energy values, unit meV per atom, following the record order: -579; -420; -829; -566; -717; -769.
Density values, unit g cm⁻³, following the record order: 4.239; 3.806; 3.689; 3.343; 3.667; 3.014.